Entry 1:
# AcTlAu6 (PBE, optimized geometry)
data_AcTlAu6
_chemical_formula_sum 'Ac1 Tl1 Au6'
_space_group_name_H-M_alt 'P 1'
_space_group_IT_number 1
_space_group_name_Hall 'P 1'
_cell_length_a 5.6703
_cell_length_b 5.6703
_cell_length_c 5.6703
_cell_angle_alpha 90.00
_cell_angle_beta 90.00
_cell_angle_gamma 90.00
loop_
_atom_site_label
_atom_site_type_symbol
_atom_site_fract_x
_atom_site_fract_y
_atom_site_fract_z
Tl1 Tl 0.0000 0.0000 0.0000
Au1 Au 0.5000 0.2465 0.0000
Au2 Au 0.0000 0.5000 0.2465
Au3 Au 0.5000 0.7535 0.0000
Au4 Au 0.2465 0.0000 0.5000
Au5 Au 0.0000 0.5000 0.7535
Ac1 Ac 0.5000 0.5000 0.5000
Au6 Au 0.7535 0.0000 0.5000
# ΔE_f = -0.230 eV per atom
# symmetry = Pm-3 (200)
# crystal system = cubic
# spin magnetization = 0.000 μB/f.u.

---

Entry 2:
# Ac4TlAu2 (PBE, optimized geometry)
data_Ac4TlAu2
_chemical_formula_sum 'Ac4 Tl1 Au2'
_space_group_name_H-M_alt 'P 1'
_space_group_IT_number 1
_space_group_name_Hall 'P 1'
_cell_length_a 5.3837
_cell_length_b 5.3837
_cell_length_c 10.7001
_cell_angle_alpha 75.43
_cell_angle_beta 75.43
_cell_angle_gamma 60.00
loop_
_atom_site_label
_atom_site_type_symbol
_atom_site_fract_x
_atom_site_fract_y
_atom_site_fract_z
Tl1 Tl 0.5000 0.5000 0.5000
Ac1 Ac 0.8803 0.8803 0.3591
Ac2 Ac 0.7069 0.7069 0.8794
Au1 Au 0.3965 0.3965 0.8105
Ac3 Ac 0.1197 0.1197 0.6409
Au2 Au 0.6035 0.6035 0.1895
Ac4 Ac 0.2931 0.2931 0.1206
# ΔE_f = -0.425 eV per atom
# symmetry = R-3m (166)
# crystal system = trigonal
# spin magnetization = 0.000 μB/f.u.

---

Entry 3:
# AcTl2Au (PBE, optimized geometry)
data_AcTl2Au
_chemical_formula_sum 'Ac1 Tl2 Au1'
_space_group_name_H-M_alt 'P 1'
_space_group_IT_number 1
_space_group_name_Hall 'P 1'
_cell_length_a 5.4256
_cell_length_b 5.4256
_cell_length_c 5.4256
_cell_angle_alpha 60.00
_cell_angle_beta 60.00
_cell_angle_gamma 60.00
loop_
_atom_site_label
_atom_site_type_symbol
_atom_site_fract_x
_atom_site_fract_y
_atom_site_fract_z
Tl1 Tl 0.7500 0.7500 0.7500
Ac1 Ac 0.0000 0.0000 0.0000
Tl2 Tl 0.2500 0.2500 0.2500
Au1 Au 0.5000 0.5000 0.5000
# ΔE_f = -0.245 eV per atom
# distance to the lowest polymorph of the same formula = 205 meV per atom
# symmetry = Fm-3m (225)
# crystal system = cubic
# spin magnetization = 0.000 μB/f.u.

---

Entry 4:
# Ac2TlAu6 (PBE, optimized geometry)
data_Ac2TlAu6
_chemical_formula_sum 'Ac2 Tl1 Au6'
_space_group_name_H-M_alt 'P 1'
_space_group_IT_number 1
_space_group_name_Hall 'P 1'
_cell_length_a 3.9048
_cell_length_b 8.3406
_cell_length_c 8.3406
_cell_angle_alpha 120.00
_cell_angle_beta 90.00
_cell_angle_gamma 90.00
loop_
_atom_site_label
_atom_site_type_symbol
_atom_site_fract_x
_atom_site_fract_y
_atom_site_fract_z
Au1 Au 0.5000 0.0000 0.6671
Ac1 Ac 0.0000 0.6667 0.3333
Tl1 Tl 0.0000 0.0000 0.0000
Au2 Au 0.5000 0.6671 0.0000
Ac2 Ac 0.0000 0.3333 0.6667
Au3 Au 0.5000 0.6671 0.6671
Au4 Au 0.5000 0.3329 0.3329
Au5 Au 0.5000 0.3329 0.0000
Au6 Au 0.5000 0.0000 0.3329
# ΔE_f = -0.549 eV per atom
# distance to the lowest polymorph of the same formula = 22 meV per atom
# symmetry = P6/mmm (191)
# crystal system = hexagonal
# spin magnetization = 0.000 μB/f.u.

---

Entry 5:
# AcTl2Au (PBE, optimized geometry)
data_AcTl2Au
_chemical_formula_sum 'Ac1 Tl2 Au1'
_space_group_name_H-M_alt 'P 1'
_space_group_IT_number 1
_space_group_name_Hall 'P 1'
_cell_length_a 5.3658
_cell_length_b 4.6767
_cell_length_c 4.6767
_cell_angle_alpha 90.00
_cell_angle_beta 90.00
_cell_angle_gamma 90.00
loop_
_atom_site_label
_atom_site_type_symbol
_atom_site_fract_x
_atom_site_fract_y
_atom_site_fract_z
Tl1 Tl 0.0000 0.5000 0.0000
Ac1 Ac 0.5000 0.5000 0.5000
Tl2 Tl 0.0000 0.0000 0.5000
Au1 Au 0.5000 0.0000 0.0000
# ΔE_f = -0.350 eV per atom
# distance to the lowest polymorph of the same formula = 100 meV per atom
# symmetry = P4/mmm (123)
# crystal system = tetragonal
# spin magnetization = 0.000 μB/f.u.

---

Entry 6:
# Ac2TlAu6 (PBE, optimized geometry)
data_Ac2TlAu6
_chemical_formula_sum 'Ac2 Tl1 Au6'
_space_group_name_H-M_alt 'P 1'
_space_group_IT_number 1
_space_group_name_Hall 'P 1'
_cell_length_a 5.7614
_cell_length_b 6.6777
_cell_length_c 6.6777
_cell_angle_alpha 59.97
_cell_angle_beta 89.99
_cell_angle_gamma 89.99
loop_
_atom_site_label
_atom_site_type_symbol
_atom_site_fract_x
_atom_site_fract_y
_atom_site_fract_z
Tl1 Tl 0.0000 0.0000 0.0000
Au1 Au 0.3300 0.8123 0.3755
Ac1 Ac 0.1720 0.3334 0.3334
Ac2 Ac 0.8280 0.6666 0.6666
Au2 Au 0.3300 0.3755 0.8123
Au3 Au 0.6700 0.1877 0.6245
Au4 Au 0.6700 0.6245 0.1877
Au5 Au 0.3297 0.8121 0.8121
Au6 Au 0.6703 0.1879 0.1879
# ΔE_f = -0.571 eV per atom
# distance to the lowest polymorph of the same formula = 0 meV per atom
# symmetry = P-3m1 (164)
# crystal system = trigonal
# spin magnetization = 0.000 μB/f.u.

---

Which of these has the lowest ΔE_f?
number 6

---

Number 6 is which compound?
Ac2TlAu6